# 1
Na4Tl2HgSb2 | PBE | optimized geometry

Lattice parameters (Å, degrees): 8.4184 8.4184 5.1440 106.64 106.64 53.56
Last column: nearest neighbours and their distance in Å.
Element x y z (fractional)
Na 0.0948 0.6488 0.8668  3 Sb 3.22-3.24, 3 Tl 3.33-3.60, 1 Na 3.38, 1 Hg 3.53
Na 0.3512 0.9052 0.1332  3 Sb 3.22-3.24, 3 Tl 3.33-3.60, 1 Na 3.38, 1 Hg 3.53
Na 0.6488 0.0948 0.8668  3 Sb 3.22-3.24, 3 Tl 3.33-3.60, 1 Na 3.38, 1 Hg 3.53
Na 0.9052 0.3512 0.1332  3 Sb 3.22-3.24, 3 Tl 3.33-3.60, 1 Na 3.38, 1 Hg 3.53
Tl 0.3512 0.3512 0.3460  6 Na 3.33-3.60, 2 Sb 3.34-3.37
Tl 0.6488 0.6488 0.6540  6 Na 3.33-3.60, 2 Sb 3.34-3.37
Hg 0.0000 0.0000 0.5000  2 Sb 2.85
Sb 0.2001 0.2001 0.7008  1 Hg 2.85
Sb 0.7999 0.7999 0.2992  1 Hg 2.85

The final energy comes out at -2.2609 eV/atom. The calculated density is 5.6 g/cm³. The uncorrected formation energy is -0.1992 eV/atom.

---

# 2
ZrCuBr | PBE | optimized geometry

Lattice parameters (Å, degrees): 14.0255 3.3602 5.8163 90.00 90.00 90.00
Last column: nearest neighbours and their distance in Å.
Element x y z (fractional)
Zr 0.1418 0.0000 0.0000  3 Br 2.75-2.76, 3 Cu 2.78
Zr 0.1418 0.5000 0.5000  3 Br 2.75-2.76, 3 Cu 2.78
Zr 0.8582 0.0000 0.0000  3 Br 2.75-2.76, 3 Cu 2.78
Zr 0.8582 0.5000 0.5000  3 Br 2.75-2.76, 3 Cu 2.78
Cu 0.0000 0.0000 0.3339  6 Zr 2.78
Cu 0.0000 0.5000 0.8339  6 Zr 2.78
Cu 0.5000 0.0000 0.3139  2 Br 3.07, 6 Cu 3.36
Cu 0.5000 0.5000 0.8139  2 Br 3.07, 6 Cu 3.36
Br 0.2813 0.0000 0.3333  3 Zr 2.75-2.76, 1 Cu 3.07
Br 0.2813 0.5000 0.8333  3 Zr 2.75-2.76, 1 Cu 3.07
Br 0.7187 0.0000 0.3333  3 Zr 2.75-2.76, 1 Cu 3.07
Br 0.7187 0.5000 0.8333  3 Zr 2.75-2.76, 1 Cu 3.07

The final energy comes out at -4.9537 eV/atom. The calculated density is 5.7 g/cm³. The uncorrected formation energy is -0.1813 eV/atom.

---

What did the first record say?
Na4Tl2HgSb2 | PBE | optimized geometry

Lattice parameters (Å, degrees): 8.4184 8.4184 5.1440 106.64 106.64 53.56
Last column: nearest neighbours and their distance in Å.
Element x y z (fractional)
Na 0.0948 0.6488 0.8668  3 Sb 3.22-3.24, 3 Tl 3.33-3.60, 1 Na 3.38, 1 Hg 3.53
Na 0.3512 0.9052 0.1332  3 Sb 3.22-3.24, 3 Tl 3.33-3.60, 1 Na 3.38, 1 Hg 3.53
Na 0.6488 0.0948 0.8668  3 Sb 3.22-3.24, 3 Tl 3.33-3.60, 1 Na 3.38, 1 Hg 3.53
Na 0.9052 0.3512 0.1332  3 Sb 3.22-3.24, 3 Tl 3.33-3.60, 1 Na 3.38, 1 Hg 3.53
Tl 0.3512 0.3512 0.3460  6 Na 3.33-3.60, 2 Sb 3.34-3.37
Tl 0.6488 0.6488 0.6540  6 Na 3.33-3.60, 2 Sb 3.34-3.37
Hg 0.0000 0.0000 0.5000  2 Sb 2.85
Sb 0.2001 0.2001 0.7008  1 Hg 2.85
Sb 0.7999 0.7999 0.2992  1 Hg 2.85

The final energy comes out at -2.2609 eV/atom. The calculated density is 5.6 g/cm³. The uncorrected formation energy is -0.1992 eV/atom.

---

> The lowest calculated density belongs to which entry?

Na4Tl2HgSb2

---

> Which value of final energy does entry 2 give?

-4.9537 eV/atom